1.
VASP calculation (GGA-PBE) on TcTeOs2 after structural relaxation.

```
TcTeOs2
1.0
0.000 3.187 3.187
3.187 0.000 3.187
3.187 3.187 0.000
Tc Te Os
1 1 2
Cartesian
0.000 0.000 0.000 Tc
4.780 4.780 4.780 Te
1.593 1.593 1.593 Os
3.187 3.187 3.187 Os
```

Values from the calculation:
E ... -8.17 eV per atom
Excess energy over the best structure of this formula in the dataset ... 1.015 eV per formula unit
Fermi-level density of states ... 4.7 states/eV/cell
Uncorrected formation energy ... 3.302 eV per formula unit
Size of the total moment ... 0.00 μB per formula unit

2.
VASP calculation (GGA-PBE) on Ho3Er4Pb4 after structural relaxation.

```
Ho3Er4Pb4
1.0
-2.046 4.681 8.651
2.046 -4.681 8.651
2.046 4.681 -8.651
Ho Er Pb
3 4 4
Cartesian
0.000 0.000 0.000 Ho
2.046 0.000 6.816 Ho
0.000 4.681 1.835 Ho
2.046 1.807 -2.928 Er
2.046 1.807 2.928 Er
0.000 2.875 5.723 Er
0.000 2.875 11.579 Er
0.000 0.000 4.421 Pb
2.046 2.711 0.000 Pb
0.000 1.970 8.651 Pb
0.000 0.000 12.881 Pb
```

Values from the calculation:
E ... -4.57 eV per atom
Fermi-level density of states ... 11.8 states/eV/cell
Energy of formation from the pure elements ... -328 kJ/mol of formula units
Size of the total moment ... 2.20 μB per formula unit

3.
VASP calculation (GGA-PBE) on K2ZnRh after structural relaxation.

```
K2ZnRh
1.0
-5.890 5.890 2.418
5.890 -5.890 2.418
5.890 5.890 -2.418
K Zn Rh
4 2 2
Cartesian
0.744 2.945 0.605 K
-2.945 5.145 1.814 K
-0.744 8.835 0.605 K
2.945 6.634 1.814 K
5.890 0.000 1.209 Zn
0.000 0.000 2.418 Zn
0.000 0.000 0.000 Rh
0.000 5.890 1.209 Rh
```

Values from the calculation:
E ... -2.37 eV per atom
Fermi-level density of states ... 6.2 states/eV/cell
Energy of formation from the pure elements ... 129 kJ/mol of formula units
Size of the total moment ... 0.00 μB per formula unit

4.
VASP calculation (GGA-PBE) on RbIn2Ag3 after structural relaxation.

```
RbIn2Ag3
1.0
5.839 -4.608 0.000
5.839 4.608 0.000
0.000 0.000 6.109
Rb In Ag
2 4 6
Cartesian
5.839 3.053 4.582 Rb
5.839 -3.053 1.527 Rb
3.403 0.000 0.000 In
3.403 0.000 3.055 In
8.275 0.000 0.000 In
8.275 0.000 3.055 In
3.518 2.465 1.527 Ag
5.839 0.634 1.527 Ag
8.160 2.465 1.527 Ag
3.518 -2.465 4.582 Ag
5.839 -0.634 4.582 Ag
8.160 -2.465 4.582 Ag
```

Values from the calculation:
E ... -2.55 eV per atom
Fermi-level density of states ... 4.0 states/eV/cell
Energy of formation from the pure elements ... -28 kJ/mol of formula units
Size of the total moment ... 0.00 μB per formula unit

Repeat the second record exactly.
VASP calculation (GGA-PBE) on Ho3Er4Pb4 after structural relaxation.

```
Ho3Er4Pb4
1.0
-2.046 4.681 8.651
2.046 -4.681 8.651
2.046 4.681 -8.651
Ho Er Pb
3 4 4
Cartesian
0.000 0.000 0.000 Ho
2.046 0.000 6.816 Ho
0.000 4.681 1.835 Ho
2.046 1.807 -2.928 Er
2.046 1.807 2.928 Er
0.000 2.875 5.723 Er
0.000 2.875 11.579 Er
0.000 0.000 4.421 Pb
2.046 2.711 0.000 Pb
0.000 1.970 8.651 Pb
0.000 0.000 12.881 Pb
```

Values from the calculation:
E ... -4.57 eV per atom
Fermi-level density of states ... 11.8 states/eV/cell
Energy of formation from the pure elements ... -328 kJ/mol of formula units
Size of the total moment ... 2.20 μB per formula unit